one:
First-principles (PBE+U) data for crystalline BeCoF at its relaxed geometry, as listed in Alexandria.

Unit cell a=2.5324 b=2.5327 c=10.8839 alpha=94.77 beta=91.74 gamma=119.99
Last column: nearest neighbours and their distance in Å.
Space group P1 (No. 1)
Asymmetric unit:
1 Be 0.0000 0.0000 0.0000 x1  3 F 1.73
2 Be 0.2220 0.3028 0.5391 x1  3 F 1.73
3 Co 0.4038 0.7641 0.1735 x1  3 Be 2.38, 9 Co 2.51-2.53
4 Co 0.8151 0.5370 0.3629 x1  3 Be 2.40, 9 Co 2.51-2.53
5 F 0.2972 0.6180 0.9141 x1  3 Be 1.73
6 F 0.5905 0.0176 0.6240 x1  3 Be 1.73

Results
- calculated density (g/cm³) = 4.81
- spin magnetization (μB/f.u.) = 1.55

---

two:
First-principles (PBE+U) data for crystalline BeCoF at its relaxed geometry, as listed in Alexandria.

Unit cell a=13.6381 b=2.4577 c=4.2573 alpha=90.00 beta=90.00 gamma=90.00
Last column: nearest neighbours and their distance in Å.
Space group Amm2 (No. 38)
Asymmetric unit:
1 Be 0.0000 0.0000 0.0000 x2  6 Co 2.36, 6 Be 2.46
2 Be 0.5000 0.0000 0.2224 x2  6 F 1.77
3 Co 0.1386 0.0000 0.3334 x4  3 Be 2.36, 6 Co 2.46
4 F 0.4228 0.0000 0.8888 x4  3 Be 1.77

Results
- calculated density (g/cm³) = 4.05
- spin magnetization (μB/f.u.) = 1.73

---

three:
First-principles (PBE+U) data for crystalline BeCoF at its relaxed geometry, as listed in Alexandria.

Unit cell a=14.2636 b=2.7665 c=3.3433 alpha=90.00 beta=93.12 gamma=90.00
Last column: nearest neighbours and their distance in Å.
Space group Cm (No. 8)
Asymmetric unit:
1 Be 0.0000 0.0000 0.0000 x2  3 F 1.60
2 Be 0.2082 0.0000 0.2680 x2  1 F 1.55
3 Co 0.2791 0.5000 0.7779 x2  4 Be 2.38-2.41, 4 Co 2.46-2.53
4 Co 0.3657 0.0000 0.2830 x2  1 Be 2.24, 2 Co 2.46, 1 F 2.50
5 F 0.0067 0.5000 0.7618 x2  2 Be 1.60
6 F 0.0997 0.0000 0.2409 x2  2 Be 1.55-1.60

Results
- calculated density (g/cm³) = 4.38
- spin magnetization (μB/f.u.) = 1.86

---

Computed energies relative to the best structure, in meV/atom: one 0; two 253; three 98

---

one:
First-principles (PBE+U) data for crystalline BeCoF at its relaxed geometry, as listed in Alexandria.

Unit cell a=2.6781 b=9.9982 c=2.4631 alpha=90.00 beta=90.00 gamma=90.00
Last column: nearest neighbours and their distance in Å.
Space group Pmn2_1 (No. 31)
Asymmetric unit:
1 Be 0.0000 0.2416 0.0000 x2  2 F 1.57
2 Co 0.0000 0.5908 0.0099 x2  4 Be 2.46-2.49, 8 Co 2.46-2.68
3 F 0.0000 0.1445 0.4994 x2  2 Be 1.57

Results
- calculated density (g/cm³) = 4.38
- spin magnetization (μB/f.u.) = 1.71

---

two:
First-principles (PBE+U) data for crystalline BeCoF at its relaxed geometry, as listed in Alexandria.

Unit cell a=3.2043 b=3.2043 c=5.9917 alpha=90.00 beta=90.00 gamma=90.00
Last column: nearest neighbours and their distance in Å.
Space group P4/nmm (No. 129, origin choice 2)
Asymmetric unit:
1 Be 0.2500 0.2500 0.1652 x2  4 F 1.88
2 Co 0.2500 0.2500 0.5340 x2  1 Be 2.21, 4 Co 2.30
3 F 0.2500 0.7500 0.0000 x2  4 Be 1.88

Results
- calculated density (g/cm³) = 4.69
- spin magnetization (μB/f.u.) = 1.80

---

Computed energies relative to the best structure, in meV/atom: one 0; two 386